No. 1
The following is a meta-GGA SCAN calculation of a PBEsol-optimized structure of YAl2Os, from Alexandria.

Summary:
ΔH_f (0 K): -1.0 eV/f.u.

Cell and atoms, written as POSCAR:
```
YAl2Os
1.0
-4.3832 -1.3385 -0.0975
3.1484 -2.6109 2.0628
0.0185 -0.3934 4.5671
Y Al Os
1 2 1
Direct
0.7500 0.5000 0.7500 Y
0.2500 0.5000 0.2500 Al
0.5000 0.0000 0.5000 Al
0.0000 0.0000 0.0000 Os
```

***

No. 2
The following is a meta-GGA SCAN calculation of a PBEsol-optimized structure of ReSb3C, from Alexandria.

Summary:
energy above the most stable polymorph in this dataset: 0.227 eV per atom

Cell and atoms, written as POSCAR:
```
ReSb3C
1.0
5.0696 0.0000 0.0000
0.0000 5.0696 0.0000
0.0000 0.0000 5.0696
Sb Re C
3 1 1
Direct
0.0000 0.0000 0.5000 Sb
0.0000 0.5000 0.0000 Sb
0.5000 0.0000 0.0000 Sb
0.0000 0.0000 0.0000 Re
0.5000 0.5000 0.5000 C
```